The following is a GGA-PBE calculation of a relaxed Pr2ErSc6 crystal, from Alexandria via LeMat-Bulk.

Summary:
**Total energy**: -5.712 eV per atom
**V**: 248.2 Å³ per cell
**D(E_F)**: 17.057 states/eV/f.u.
**Crystal system**: hexagonal
**Formation enthalpy at 0 K**: 0.08 eV/atom
**Space-group type**: P6/mmm, No. 191

Cell: 3.312 9.302 9.302 Å, 60.00 90.04 90.04°
Element x y z (fractional)
Pr1 0.000 0.333 0.333
Pr2 0.000 0.667 0.667
Er1 0.000 0.000 0.000
Sc1 0.500 0.000 0.330
Sc2 0.501 0.000 0.670
Sc3 0.501 0.670 0.000
Sc4 0.500 0.330 0.670
Sc5 0.500 0.670 0.330
Sc6 0.500 0.330 0.000